# 1
A relaxed structure of Sc2TlCuH, computed with GGA-PBE.

abc: 5.5974 5.5974 3.5618
angles: 90.00 90.00 90.00
Last column: nearest neighbours and their distance in Å.
Positions (direct):
H: 0.0000 0.0000 0.5000  2 Tl 1.78
Cu: 0.5000 0.5000 0.5000  8 Sc 3.32, 2 Cu 3.56
Sc: 0.5000 0.0000 0.0000  2 Tl 2.80
Sc: 0.0000 0.5000 0.0000  2 Tl 2.80
Tl: 0.0000 0.0000 0.0000  2 H 1.78

Properties
Density of states at the Fermi level in states/eV per cell: 4.77
Symmetry: No. 123
Total DFT energy (no corrections) in eV per atom: -3.787
Excess energy over the best structure of this formula in the dataset in eV/atom: 0.9785

***

# 2
A relaxed structure of Ca2AlAg, computed with GGA-PBE.

abc: 5.4035 3.5197 5.4103
angles: 90.00 90.00 90.00
Last column: nearest neighbours and their distance in Å.
Positions (direct):
Ca: 0.5000 0.1250 0.3673  4 Al 3.21-3.24, 4 Ag 3.23, 2 Ca 3.52
Ca: 0.0000 0.1250 0.8810  4 Ag 3.20-3.26, 4 Al 3.23, 2 Ca 3.52
Al: 0.5000 0.6250 0.8641  8 Ca 3.21-3.24, 2 Al 3.52
Ag: 0.0000 0.6250 0.3876  8 Ca 3.20-3.26, 2 Ag 3.52

Properties
Density of states at the Fermi level in states/eV per cell: 3.16
Symmetry: No. 25
Total DFT energy (no corrections) in eV per atom: -2.885

***

# 3
A relaxed structure of Ti2NiRhPb, computed with GGA-PBE.

abc: 5.0628 4.5732 5.0628
angles: 90.00 90.00 90.00
Last column: nearest neighbours and their distance in Å.
Positions (direct):
Ni: 0.0000 0.5000 0.0000  2 Pb 2.29
Ti: 0.5000 0.0000 0.0000  2 Pb 2.53
Ti: 0.0000 0.0000 0.5000  2 Pb 2.53
Rh: 0.5000 0.5000 0.5000  8 Ti 3.41, 4 Ni 3.58
Pb: 0.0000 0.0000 0.0000  2 Ni 2.29, 4 Ti 2.53

Properties
Density of states at the Fermi level in states/eV per cell: 9.72
Symmetry: No. 123
Total DFT energy (no corrections) in eV per atom: -5.063

***

# 4
A relaxed structure of NaInGa2Ni, computed with GGA-PBE.

abc: 4.6509 4.6509 5.0210
angles: 90.00 90.00 90.00
Last column: nearest neighbours and their distance in Å.
Positions (direct):
Na: 0.5000 0.5000 0.5000  4 In 3.29, 8 Ga 3.42
Ni: 0.0000 0.0000 0.0000  4 Ga 2.33, 2 In 2.51
Ga: 0.0000 0.5000 0.0000  2 Ni 2.33
Ga: 0.5000 0.0000 0.0000  2 Ni 2.33
In: 0.0000 0.0000 0.5000  2 Ni 2.51

Properties
Density of states at the Fermi level in states/eV per cell: 1.86
Symmetry: No. 123
Total DFT energy (no corrections) in eV per atom: -3.295

***

# 5
A relaxed structure of BiTeSCl2, computed with GGA-PBE.

abc: 5.4741 5.4741 5.4160
angles: 90.00 90.00 90.00
Last column: nearest neighbours and their distance in Å.
Positions (direct):
Te: 0.5000 0.5000 0.5000  8 Cl 3.85, 4 S 3.87
S: 0.0000 0.0000 0.5000  2 Bi 2.71
Bi: 0.0000 0.0000 0.0000  2 S 2.71, 4 Cl 2.74
Cl: 0.5000 0.0000 0.0000  2 Bi 2.74
Cl: 0.0000 0.5000 0.0000  2 Bi 2.74

Properties
Formation energy from raw total energies in eV per formula unit: 0.12
Density of states at the Fermi level in states/eV per cell: 1.75
Symmetry: No. 123
Total DFT energy (no corrections) in eV per atom: -2.944
Excess energy over the best structure of this formula in the dataset in eV/atom: 0.0000

***

# 6
A relaxed structure of PrPtAu, computed with GGA-PBE.

abc: 4.2976 6.1050 6.1050
angles: 92.13 69.39 69.39
Last column: nearest neighbours and their distance in Å.
Positions (direct):
Pr: 0.0000 0.5891 0.4109  4 Pt 3.09, 6 Au 3.23-3.30
Pr: 0.5000 0.1804 0.8196  4 Pt 3.10, 4 Au 3.23
Pt: 0.7855 0.2147 0.2143  3 Au 2.74-2.75
Pt: 0.2145 0.7857 0.7853  3 Au 2.74-2.75
Au: 0.2947 0.0101 0.4005  3 Pt 2.74-2.75, 1 Au 3.00
Au: 0.7053 0.5995 0.9899  3 Pt 2.74-2.75, 1 Au 3.00

Properties
Density of states at the Fermi level in states/eV per cell: 3.15
Symmetry: No. 44
Total DFT energy (no corrections) in eV per atom: -5.550
Excess energy over the best structure of this formula in the dataset in eV/atom: 0.0559

***

# 7
A relaxed structure of Pm3NdMg6, computed with GGA-PBE.

abc: 5.3526 9.4421 11.4406
angles: 105.81 90.00 90.00
Last column: nearest neighbours and their distance in Å.
Positions (direct):
Mg: 0.2500 0.2432 0.4909  3 Nd 3.25-3.41, 4 Pm 3.25-3.42, 1 Mg 3.27
Mg: 0.7500 0.7568 0.5091  3 Nd 3.25-3.41, 4 Pm 3.25-3.42, 1 Mg 3.27
Mg: 0.2500 0.4410 0.0986  1 Mg 3.26, 7 Pm 3.26-3.43
Mg: 0.2500 0.0476 0.9027  3 Mg 3.21-3.26, 1 Nd 3.26, 4 Pm 3.26-3.42
Mg: 0.2500 0.8566 0.3025  3 Nd 3.26-3.35, 4 Pm 3.28-3.45, 1 Mg 3.29
Mg: 0.7500 0.3393 0.2919  1 Nd 3.22, 2 Mg 3.26, 5 Pm 3.26-3.45
Mg: 0.7500 0.5590 0.9014  1 Mg 3.26, 7 Pm 3.26-3.43
Mg: 0.2500 0.1458 0.1943  8 Mg 3.21-3.29
Mg: 0.7500 0.1434 0.6975  3 Nd 3.26-3.35, 4 Pm 3.28-3.45, 1 Mg 3.29
Mg: 0.2500 0.6607 0.7081  1 Nd 3.22, 2 Mg 3.26, 5 Pm 3.26-3.45
Mg: 0.7500 0.9524 0.0973  3 Mg 3.21-3.26, 1 Nd 3.26, 4 Pm 3.26-3.42
Mg: 0.7500 0.8542 0.8057  8 Mg 3.21-3.29
Pm: 0.2500 0.7558 0.0045  8 Mg 3.26-3.43
Pm: 0.7500 0.2442 0.9955  8 Mg 3.26-3.43
Pm: 0.2500 0.3512 0.7943  8 Mg 3.32-3.42
Pm: 0.7500 0.4624 0.6050  8 Mg 3.25-3.45
Pm: 0.7500 0.6488 0.2057  8 Mg 3.32-3.42
Pm: 0.2500 0.5376 0.3950  8 Mg 3.25-3.45
Nd: 0.7500 0.0531 0.3930  8 Mg 3.22-3.41
Nd: 0.2500 0.9469 0.6070  8 Mg 3.22-3.41

Properties
Density of states at the Fermi level in states/eV per cell: 18.70
Symmetry: No. 11
Total DFT energy (no corrections) in eV per atom: -2.946

***

# 8
A relaxed structure of FeSbRuI2, computed with GGA-PBE.

abc: 5.4953 5.4953 5.0020
angles: 90.00 90.00 90.00
Last column: nearest neighbours and their distance in Å.
Positions (direct):
Sb: 0.0000 0.0000 0.5000  2 Ru 2.50
I: 0.5000 0.0000 0.0000  2 Ru 2.75
I: 0.0000 0.5000 0.0000  2 Ru 2.75
Ru: 0.0000 0.0000 0.0000  2 Sb 2.50, 4 I 2.75
Fe: 0.5000 0.5000 0.5000  8 I 3.72, 4 Sb 3.89

Properties
Formation energy from raw total energies in eV per formula unit: 4.73
Density of states at the Fermi level in states/eV per cell: 5.91
Symmetry: No. 123
Total DFT energy (no corrections) in eV per atom: -4.046
Excess energy over the best structure of this formula in the dataset in eV/atom: 0.0000

***

- Among the records above, which one has the highest total DFT energy (no corrections)?
  Ca2AlAg

***

- Which of these has the highest density of states at the Fermi level?
  Pm3NdMg6